Below is a relaxed structure of GdAsPb, with properties calculated at the GGA-PBE level.

```
data_GdAsPb
_symmetry_space_group_name_H-M 'F -4 3 m'
_symmetry_Int_Tables_number 216
_symmetry_space_group_name_Hall 'F -4 2 3'
_cell_length_a 7.159
_cell_length_b 7.159
_cell_length_c 7.159
_cell_angle_alpha 90.00
_cell_angle_beta 90.00
_cell_angle_gamma 90.00
loop_
_atom_site_label
_atom_site_fract_x
_atom_site_fract_y
_atom_site_fract_z
_atom_site_occupancy
Gd1 0.000 0.000 0.000 1
As1 0.000 0.000 0.500 1
Pb1 0.250 0.250 0.750 1
```

Properties
Its energy above the most stable polymorph in this dataset is 195.5 meV/atom. The density comes out at 7.96 g cm⁻³.